Entry 1:
! InRh3I (PBEsol, optimized geometry); values from VASP
&SYSTEM
  ibrav = 0, nat = 5, ntyp = 3
/
ATOMIC_SPECIES
In 114.82 In.upf
Rh 102.91 Rh.upf
I 126.90 I.upf
ATOMIC_POSITIONS angstrom
In 0.000 0.000 0.000
Rh 0.000 2.379 2.379
Rh 2.379 0.000 2.379
Rh 2.379 2.379 0.000
I 2.379 2.379 2.379
CELL_PARAMETERS angstrom
4.758 0.000 0.000
0.000 4.758 0.000
0.000 0.000 4.758
! - ΔE_f (raw) (eV per formula unit) = 5.04
! - total energy (eV per formula unit) = -24.12

Entry 2:
! In3RhI (PBEsol, optimized geometry); values from VASP
&SYSTEM
  ibrav = 0, nat = 5, ntyp = 3
/
ATOMIC_SPECIES
In 114.82 In.upf
Rh 102.91 Rh.upf
I 126.90 I.upf
ATOMIC_POSITIONS angstrom
In 0.000 0.000 2.582
In 0.000 2.582 0.000
In 2.582 0.000 0.000
Rh 0.000 0.000 0.000
I 2.582 2.582 2.582
CELL_PARAMETERS angstrom
5.164 0.000 0.000
0.000 5.164 0.000
0.000 0.000 5.164
! - ΔE_f (raw) (eV per formula unit) = -1.52
! - total energy (eV per formula unit) = -20.37

Entry 3:
! InRuI3 (PBEsol, optimized geometry); values from VASP
&SYSTEM
  ibrav = 0, nat = 5, ntyp = 3
/
ATOMIC_SPECIES
In 114.82 In.upf
Ru 101.07 Ru.upf
I 126.90 I.upf
ATOMIC_POSITIONS angstrom
In 0.000 0.000 0.000
Ru 2.886 2.886 2.886
I 0.000 0.000 2.886
I 0.000 2.886 0.000
I 2.886 0.000 0.000
CELL_PARAMETERS angstrom
5.772 0.000 0.000
0.000 5.772 0.000
0.000 0.000 5.772
! - ΔE_f (raw) (eV per formula unit) = 5.07
! - total energy (eV per formula unit) = -13.39

Entry 4:
! InSb2RuI (PBEsol, optimized geometry); values from VASP
&SYSTEM
  ibrav = 0, nat = 5, ntyp = 4
/
ATOMIC_SPECIES
In 114.82 In.upf
Sb 121.76 Sb.upf
Ru 101.07 Ru.upf
I 126.90 I.upf
ATOMIC_POSITIONS angstrom
In 0.000 0.000 0.000
Sb 0.000 2.508 2.877
Sb 2.508 0.000 2.877
Ru 2.508 2.508 2.877
I 2.508 2.508 0.000
CELL_PARAMETERS angstrom
5.015 0.000 0.000
0.000 5.015 0.000
0.000 0.000 5.755
! - ΔE_f (raw) (eV per formula unit) = 1.59
! - total energy (eV per formula unit) = -22.45

Question: What is the ΔE_f (raw) in the fourth record?
Answer: 1.59 eV per formula unit